# 1
This record from Alexandria via LeMat-Bulk describes a relaxed structure of Dy3Er2Tm6Th. The functional is GGA-PBE.

Geometry as CIF:
```
data_Dy3Er2Tm6Th
_chemical_formula_sum 'Dy6 Er4 Tm12 Th2'
_space_group_name_H-M_alt 'C 1 2/m 1'
_space_group_IT_number 12
_space_group_name_Hall '-C 2y'
_cell_length_a 6.090
_cell_length_b 10.544
_cell_length_c 11.632
_cell_angle_alpha 90.00
_cell_angle_beta 100.07
_cell_angle_gamma 90.00
loop_
_atom_site_label
_atom_site_type_symbol
_atom_site_fract_x
_atom_site_fract_y
_atom_site_fract_z
Dy1 Dy 0.000 0.000 0.000
Dy2 Dy 0.000 0.333 0.000
Er1 Er 0.000 0.167 0.500
Tm1 Tm 0.247 0.500 0.251
Tm2 Tm 0.248 0.335 0.749
Th1 Th 0.000 0.500 0.500
```

Calculated values
Total energy ... -4.7415 eV per atom
Magnetic moment ... 0.001 μB/cell
ΔE_f ... 0.3 eV/f.u.
Density of states at the Fermi level ... 15.76 states/eV/f.u.


# 2
This record from Alexandria via LeMat-Bulk describes a relaxed structure of SrLaTa. The functional is GGA-PBE.

Geometry as CIF:
```
data_SrLaTa
_chemical_formula_sum 'Sr4 La4 Ta4'
_space_group_name_H-M_alt 'F m m 2'
_space_group_IT_number 42
_space_group_name_Hall 'F 2 -2'
_cell_length_a 4.541
_cell_length_b 4.827
_cell_length_c 16.928
_cell_angle_alpha 90.00
_cell_angle_beta 90.00
_cell_angle_gamma 90.00
loop_
_atom_site_label
_atom_site_type_symbol
_atom_site_fract_x
_atom_site_fract_y
_atom_site_fract_z
Sr1 Sr 0.000 0.000 0.000
La1 La 0.000 0.000 0.286
Ta1 Ta 0.000 0.000 0.652
```

Calculated values
Total energy ... -5.4894 eV per atom
Magnetic moment ... 0.000 μB/cell
Energy above the lowest structure with this stoichiometry ... 0.000 eV/atom
ΔE_f ... 2.0 eV/f.u.
Density of states at the Fermi level ... 4.49 states/eV/f.u.


# 3
This record from Alexandria via LeMat-Bulk describes a relaxed structure of Tl2CdPd. The functional is GGA-PBE.

Geometry as CIF:
```
data_Tl2CdPd
_chemical_formula_sum 'Tl8 Cd4 Pd4'
_space_group_name_H-M_alt 'I -4 2 d'
_space_group_IT_number 122
_space_group_name_Hall 'I -4 2bw'
_cell_length_a 8.991
_cell_length_b 8.991
_cell_length_c 5.488
_cell_angle_alpha 90.00
_cell_angle_beta 90.00
_cell_angle_gamma 90.00
loop_
_atom_site_label
_atom_site_type_symbol
_atom_site_fract_x
_atom_site_fract_y
_atom_site_fract_z
Tl1 Tl 0.161 0.250 0.125
Cd1 Cd 0.000 0.000 0.500
Pd1 Pd 0.000 0.000 0.000
```

Calculated values
Total energy ... -2.6996 eV per atom
Magnetic moment ... 0.000 μB/cell
Energy above the lowest structure with this stoichiometry ... 0.005 eV/atom
ΔE_f ... 0.0 eV/f.u.
Density of states at the Fermi level ... 1.40 states/eV/f.u.


# 4
This record from Alexandria via LeMat-Bulk describes a relaxed structure of Mg6CrCo. The functional is GGA-PBE.

Geometry as CIF:
```
data_Mg6CrCo
_chemical_formula_sum 'Mg12 Cr2 Co2'
_space_group_name_H-M_alt 'A m m 2'
_space_group_IT_number 38
_space_group_name_Hall 'A 2 -2'
_cell_length_a 4.805
_cell_length_b 6.031
_cell_length_c 10.603
_cell_angle_alpha 90.00
_cell_angle_beta 90.00
_cell_angle_gamma 90.00
loop_
_atom_site_label
_atom_site_type_symbol
_atom_site_fract_x
_atom_site_fract_y
_atom_site_fract_z
Mg1 Mg 0.000 0.000 0.000
Mg2 Mg 0.000 0.236 0.745
Mg3 Mg 0.500 0.000 0.167
Mg4 Mg 0.500 0.241 0.423
Cr1 Cr 0.000 0.000 0.509
Co1 Co 0.500 0.000 0.654
```

Calculated values
Total energy ... -3.0470 eV per atom
Magnetic moment ... 9.852 μB/cell
ΔE_f ... 1.9 eV/f.u.
Density of states at the Fermi level ... 6.10 states/eV/f.u.


# 5
This record from Alexandria via LeMat-Bulk describes a relaxed structure of LiSi2Au2. The functional is GGA-PBE.

Geometry as CIF:
```
data_LiSi2Au2
_chemical_formula_sum 'Li2 Si4 Au4'
_space_group_name_H-M_alt 'I 4/m m m'
_space_group_IT_number 139
_space_group_name_Hall '-I 4 2'
_cell_length_a 3.597
_cell_length_b 3.597
_cell_length_c 13.326
_cell_angle_alpha 90.00
_cell_angle_beta 90.00
_cell_angle_gamma 90.00
loop_
_atom_site_label
_atom_site_type_symbol
_atom_site_fract_x
_atom_site_fract_y
_atom_site_fract_z
Li1 Li 0.000 0.000 0.000
Si1 Si 0.000 0.500 0.250
Au1 Au 0.000 0.000 0.400
```

Calculated values
Total energy ... -3.9178 eV per atom
Magnetic moment ... 0.000 μB/cell
Formation energy without anion corrections ... -0.27 eV per formula unit
Density of states at the Fermi level ... 1.64 states/eV/f.u.


# 6
This record from Alexandria via LeMat-Bulk describes a relaxed structure of Ta3PbCl. The functional is GGA-PBE.

Geometry as CIF:
```
data_Ta3PbCl
_chemical_formula_sum 'Ta3 Pb1 Cl1'
_space_group_name_H-M_alt 'P m -3 m'
_space_group_IT_number 221
_space_group_name_Hall '-P 4 2 3'
_cell_length_a 4.603
_cell_length_b 4.603
_cell_length_c 4.603
_cell_angle_alpha 90.00
_cell_angle_beta 90.00
_cell_angle_gamma 90.00
loop_
_atom_site_label
_atom_site_type_symbol
_atom_site_fract_x
_atom_site_fract_y
_atom_site_fract_z
Ta1 Ta 0.000 0.000 0.500
Pb1 Pb 0.500 0.500 0.500
Cl1 Cl 0.000 0.000 0.000
```

Calculated values
Total energy ... -7.2803 eV per atom
Magnetic moment ... 0.000 μB/cell
Energy above the lowest structure with this stoichiometry ... 0.000 eV/atom
Formation energy without anion corrections ... 4.71 eV per formula unit
Density of states at the Fermi level ... 3.04 states/eV/f.u.